Record 1
A plane-wave DFT calculation with PBE was carried out for a geometry-optimized PmSm2Th structure.

```
PmSm2Th
1.0
11.7528 0.0000 0.0000
0.0000 1.8174 3.1464
0.0000 -1.8174 3.1464
Pm Sm Th
1 2 1
direct
0.0000 0.0000 0.0000
0.2527 0.3339 0.3339
0.7473 0.3339 0.3339
0.5000 0.6679 0.6679
```

Properties
As for the symmetry: Amm2, No. 38. The calculation puts the magnetic moment at 0.0000 μB per atom. The calculation puts the formation energy at 0.04 eV/atom. The value obtained for the total energy is -21.432 eV/cell.

---

Record 2
A plane-wave DFT calculation with PBE was carried out for a geometry-optimized PmSmTh2 structure.

```
PmSmTh2
1.0
1.7581 1.0150 12.5407
-1.7581 1.0150 12.5407
0.0000 -2.0300 12.5407
Pm Sm Th
1 1 2
direct
0.0000 0.0000 0.0000
0.5000 0.5000 0.5000
0.4130 0.4130 0.4130
0.5870 0.5870 0.5870
```

Properties
As for the symmetry: R-3m, No. 166. The calculation puts the magnetic moment at 0.0001 μB per atom. The calculation puts the formation energy at 0.23 eV/atom. The value obtained for the total energy is -23.384 eV/cell.

---

Record 3
A plane-wave DFT calculation with PBE was carried out for a geometry-optimized Pm8Sm2Th3 structure.

```
Pm8Sm2Th3
1.0
5.0390 -5.5159 0.0000
5.0390 5.5159 0.0000
-3.3946 0.0000 8.0852
Pm Sm Th
8 2 3
direct
0.0801 0.5962 0.3204
0.0937 0.0937 0.3497
0.4021 0.4021 0.7846
0.4038 0.9199 0.6796
0.5962 0.0801 0.3204
0.5979 0.5979 0.2154
0.9063 0.9063 0.6503
0.9199 0.4038 0.6796
0.2301 0.2301 0.0381
0.7699 0.7699 0.9619
0.2373 0.7627 0.0000
0.5000 0.5000 0.5000
0.7627 0.2373 0.0000
```

Properties
As for the symmetry: C2/m, No. 12. The calculation puts the magnetic moment at 0.0000 μB per atom. The calculation puts the formation energy at 0.24 eV/atom. The value obtained for the total energy is -66.595 eV/cell.

---

Record 4
A plane-wave DFT calculation with PBE was carried out for a geometry-optimized PmSm7Th3 structure.

```
PmSm7Th3
1.0
7.1655 0.0000 0.0000
-3.5827 6.2055 0.0000
0.0000 0.0000 8.6832
Pm Sm Th
1 7 3
direct
0.0000 0.0000 0.0000
0.0030 0.5015 0.0039
0.3306 0.1653 0.3491
0.3333 0.6667 0.3526
0.4985 0.5015 0.0039
0.4985 0.9970 0.0039
0.8347 0.1653 0.3491
0.8347 0.6694 0.3491
0.1669 0.3337 0.6762
0.1669 0.8331 0.6762
0.6663 0.8331 0.6762
```

Properties
As for the symmetry: P3m1, No. 156. The calculation puts the magnetic moment at 0.0000 μB per atom. The calculation puts the formation energy at 0.22 eV/atom. The value obtained for the total energy is -57.637 eV/cell.

---

Record 5
A plane-wave DFT calculation with PBE was carried out for a geometry-optimized PmSm10Th4 structure.

```
PmSm10Th4
1.0
-4.8943 4.8943 5.4230
4.8943 -4.8943 5.4230
4.8943 4.8943 -5.4230
Pm Sm Th
1 10 4
direct
0.0000 0.0000 0.0000
0.1320 0.2256 0.6712
0.2256 0.5544 0.0936
0.2500 0.7500 0.5000
0.4456 0.5392 0.6712
0.4608 0.1320 0.9064
0.5392 0.8680 0.0936
0.5544 0.4608 0.3288
0.7500 0.2500 0.5000
0.7744 0.4456 0.9064
0.8680 0.7744 0.3288
0.0600 0.6644 0.7244
0.3356 0.0600 0.3956
0.6644 0.9400 0.6044
0.9400 0.3356 0.2756
```

Properties
As for the symmetry: I4/m, No. 87. The calculation puts the magnetic moment at 0.0000 μB per atom. The calculation puts the formation energy at 0.36 eV/atom. The value obtained for the total energy is -76.249 eV/cell.

---

Record 6
A plane-wave DFT calculation with PBE was carried out for a geometry-optimized PmSmThTl structure.

```
PmSmThTl
1.0
0.0000 3.9279 3.9279
3.9279 0.0000 3.9279
3.9279 3.9279 0.0000
Pm Sm Th Tl
1 1 1 1
direct
0.0000 0.0000 0.0000
0.5000 0.5000 0.5000
0.7500 0.7500 0.7500
0.2500 0.2500 0.2500
```

Properties
As for the symmetry: F-43m, No. 216. The calculation puts the magnetic moment at 0.0000 μB per atom. The calculation puts the formation energy at 0.04 eV/atom. The value obtained for the total energy is -19.105 eV/cell.

---

Record 7
A plane-wave DFT calculation with PBE was carried out for a geometry-optimized PmSmTm5Th2 structure.

```
PmSmTm5Th2
1.0
-4.4165 4.4165 7.5421
4.4165 -4.4165 7.5421
4.4165 4.4165 -7.5421
Pm Sm Tm Th
2 2 10 4
direct
0.2500 0.2500 0.0000
0.7500 0.7500 0.0000
0.2500 0.7500 0.5000
0.7500 0.2500 0.5000
0.0000 0.0000 0.0000
0.0694 0.5694 0.9143
0.1551 0.0694 0.5000
0.3449 0.8449 0.9143
0.4306 0.3449 0.5000
0.5000 0.5000 0.0000
0.5694 0.6551 0.5000
0.6551 0.1551 0.0857
0.8449 0.9306 0.5000
0.9306 0.4306 0.0857
0.1185 0.3815 0.5000
0.3815 0.8815 0.2631
0.6185 0.1185 0.7369
0.8815 0.6185 0.5000
```

Properties
As for the symmetry: I4/mcm, No. 140. The calculation puts the magnetic moment at 0.0000 μB per atom. The calculation puts the formation energy at 0.33 eV/atom. The value obtained for the total energy is -87.359 eV/cell.

---

Record 8
A plane-wave DFT calculation with PBE was carried out for a geometry-optimized PmSmTm3Th structure.

```
PmSmTm3Th
1.0
9.7814 -2.8009 0.0000
9.7814 2.8009 0.0000
-0.0125 0.0000 7.0289
Pm Sm Tm Th
2 2 6 2
direct
0.1474 0.1474 0.4603
0.8526 0.8526 0.5397
0.1483 0.1483 0.0389
0.8517 0.8517 0.9611
0.0235 0.0235 0.7514
0.2787 0.2787 0.7485
0.3416 0.3416 0.2478
0.6584 0.6584 0.7522
0.7213 0.7213 0.2515
0.9765 0.9765 0.2486
0.4462 0.4462 0.7552
0.5538 0.5538 0.2448
```

Properties
As for the symmetry: C2/m, No. 12. The calculation puts the magnetic moment at 0.0000 μB per atom. The calculation puts the formation energy at 0.22 eV/atom. The value obtained for the total energy is -57.967 eV/cell.

---

Record 9
A plane-wave DFT calculation with PBE was carried out for a geometry-optimized Pm2SmTm5Th structure.

```
Pm2SmTm5Th
1.0
-4.3324 4.3324 7.6278
4.3324 -4.3324 7.6278
4.3324 4.3324 -7.6278
Pm Sm Tm Th
4 2 10 2
direct
0.1156 0.6156 0.7312
0.3844 0.1156 0.5000
0.6156 0.8844 0.5000
0.8844 0.3844 0.2688
0.2500 0.7500 0.5000
0.7500 0.2500 0.5000
0.0000 0.0000 0.0000
0.0740 0.1491 0.5000
0.1491 0.6491 0.0751
0.3509 0.4260 0.5000
0.4260 0.9260 0.0751
0.5000 0.5000 0.0000
0.5740 0.0740 0.9249
0.6491 0.5740 0.5000
0.8509 0.3509 0.9249
0.9260 0.8509 0.5000
0.2500 0.2500 0.0000
0.7500 0.7500 0.0000
```

Properties
As for the symmetry: I4/mcm, No. 140. The calculation puts the magnetic moment at 0.0000 μB per atom. The calculation puts the formation energy at 0.29 eV/atom. The value obtained for the total energy is -82.789 eV/cell.

---

Record 10
A plane-wave DFT calculation with PBE was carried out for a geometry-optimized Pm2SmTm4Th structure.

```
Pm2SmTm4Th
1.0
5.0703 0.0000 0.0000
0.0000 5.0869 0.0000
-0.0081 0.0000 9.8688
Pm Sm Tm Th
2 1 4 1
direct
0.0000 0.0000 0.0000
0.5000 0.5000 0.5000
0.0000 0.0000 0.5000
0.0001 0.5000 0.2464
0.9999 0.5000 0.7536
0.5003 0.0000 0.2461
0.4997 0.0000 0.7539
0.5000 0.5000 0.0000
```

Properties
As for the symmetry: P2/m, No. 10. The calculation puts the magnetic moment at 0.0000 μB per atom. The calculation puts the formation energy at 0.03 eV/atom. The value obtained for the total energy is -39.302 eV/cell.